[1]
This record from Alexandria via LeMat-Bulk describes crystalline MgIn3S4 at its relaxed geometry. The functional is PBE-GGA.

Geometry as POSCAR:
```
MgIn3S4
1.0
6.608 0.000 0.000
0.000 6.608 0.000
0.000 0.000 6.608
S In Mg
4 3 1
direct
0.213 0.213 0.213
0.213 0.787 0.787
0.787 0.787 0.213
0.787 0.213 0.787
0.000 0.000 0.500
0.000 0.500 0.000
0.500 0.000 0.000
0.000 0.000 0.000
```

## Properties
- DOS at the Fermi energy: 2.936 states/eV/f.u.
- Spin magnetization: 0.0 Bohr magnetons per cell
- ΔE_f (raw): -479 meV/atom

[2]
This record from Alexandria via LeMat-Bulk describes crystalline MgScInS4 at its relaxed geometry. The functional is PBE-GGA.

Geometry as POSCAR:
```
MgScInS4
1.0
7.581 0.000 0.000
3.790 6.601 0.115
3.790 2.120 6.253
Mg S Sc In
2 8 2 2
direct
0.000 0.000 0.500
0.500 0.000 0.500
0.227 0.757 0.257
0.773 0.243 0.743
0.761 0.218 0.259
0.241 0.243 0.743
0.761 0.759 0.718
0.759 0.757 0.257
0.239 0.782 0.741
0.239 0.241 0.282
0.000 0.500 0.500
0.000 0.000 0.000
0.633 0.617 0.117
0.367 0.383 0.883
```

## Properties
- Spin magnetization: 0.0 Bohr magnetons per cell
- ΔE_f (raw): -1294 meV/atom

[3]
This record from Alexandria via LeMat-Bulk describes crystalline MgInSi2S6 at its relaxed geometry. The functional is PBE-GGA.

Geometry as POSCAR:
```
MgInSi2S6
1.0
6.640 -0.040 -0.042
2.081 8.017 0.369
2.081 0.072 8.025
Si S In Mg
4 12 2 2
direct
0.252 0.379 0.203
0.752 0.203 0.379
0.748 0.621 0.797
0.248 0.797 0.621
0.352 0.194 0.028
0.148 0.617 0.092
0.852 0.383 0.908
0.010 0.670 0.587
0.852 0.028 0.194
0.648 0.806 0.972
0.648 0.092 0.617
0.148 0.972 0.806
0.990 0.330 0.413
0.352 0.908 0.383
0.510 0.587 0.670
0.490 0.413 0.330
0.750 0.705 0.295
0.250 0.295 0.705
0.750 0.104 0.896
0.250 0.896 0.104
```

## Properties
- DOS at the Fermi energy: 3.426 states/eV/f.u.
- Spin magnetization: 0.0 Bohr magnetons per cell
- ΔE_f (raw): -671 meV/atom

Which value of spin magnetization does entry 2 give? 0.0 Bohr magnetons per cell